Record 1
Material: Cd2HRh2
Method: DFT, PBE
State: optimized geometry

Structure (extended XYZ):
```
10
Lattice="5.629 0.000 0.000 0.000 5.629 0.000 0.000 0.000 4.750" Properties=species:S:1:pos:R:3 pbc="T T T"
Cd 0.959 1.855 0.000
Cd 1.855 4.670 0.000
Cd 3.773 0.959 0.000
Cd 4.670 3.773 0.000
H 0.000 0.000 0.000
H 2.814 2.814 0.000
Rh 0.924 3.739 2.375
Rh 1.890 0.924 2.375
Rh 3.739 4.704 2.375
Rh 4.704 1.890 2.375
```

## Properties
E above lowest polymorph, meV per atom: 497
Space-group type: P4/mbm, No. 127

Record 2
Material: NbCrRe2Au
Method: DFT, PBE
State: optimized geometry

Structure (extended XYZ):
```
5
Lattice="4.463 0.000 0.000 0.000 4.463 0.000 0.000 0.000 4.536" Properties=species:S:1:pos:R:3 pbc="T T T"
Nb 0.000 0.000 0.000
Cr 0.000 0.000 2.268
Re 0.000 2.231 2.268
Re 2.231 0.000 2.268
Au 2.231 2.231 0.000
```

## Properties
Formation enthalpy at 0 K, eV per atom: 1.223
Space-group type: P4/mmm, No. 123

Record 3
Material: CsSn2Ge
Method: DFT, PBE
State: optimized geometry

Structure (extended XYZ):
```
4
Lattice="3.903 0.000 0.000 0.000 3.903 0.000 0.000 0.000 8.477" Properties=species:S:1:pos:R:3 pbc="T T T"
Cs 0.000 0.000 0.000
Sn 1.951 1.951 2.809
Sn 1.951 1.951 5.668
Ge 0.000 0.000 4.238
```

## Properties
Formation enthalpy at 0 K, eV per atom: -0.053
Space-group type: P4/mmm, No. 123

Record 4
Material: Mn4AlSb
Method: DFT, PBE
State: optimized geometry

Structure (extended XYZ):
```
6
Lattice="0.000 3.442 3.442 3.442 0.000 3.442 3.442 3.442 0.000" Properties=species:S:1:pos:R:3 pbc="T T T"
Mn 2.586 2.586 2.586
Mn 4.299 4.299 2.586
Mn 4.299 2.586 4.299
Mn 2.586 4.299 4.299
Al 5.163 5.163 5.163
Sb 0.000 0.000 0.000
```

## Properties
Formation energy without anion corrections, eV per atom: 0.20
Space-group type: F-43m, No. 216

Record 5
Material: Nd2AgSb
Method: DFT, PBE
State: optimized geometry

Structure (extended XYZ):
```
4
Lattice="5.213 0.000 0.000 0.000 5.213 0.000 0.000 0.000 4.082" Properties=species:S:1:pos:R:3 pbc="T T T"
Nd 0.000 2.607 0.000
Nd 2.607 0.000 0.000
Ag 0.000 0.000 2.041
Sb 2.607 2.607 2.041
```

## Properties
Formation energy without anion corrections, eV per atom: -0.64
Space-group type: P4/mmm, No. 123

Record 6
Material: Ac4Bi2H9
Method: DFT, PBE
State: optimized geometry

Structure (extended XYZ):
```
15
Lattice="4.090 0.000 0.000 -2.045 3.542 0.000 0.000 0.000 18.370" Properties=species:S:1:pos:R:3 pbc="T T T"
Ac 0.000 2.361 1.802
Ac 0.000 2.361 7.517
Ac 2.045 1.181 10.853
Ac 2.045 1.181 16.568
Bi 0.000 2.361 13.828
Bi 2.045 1.181 4.542
H 0.000 0.000 1.545
H 0.000 0.000 6.859
H 0.000 0.000 9.185
H 0.000 0.000 11.511
H 0.000 0.000 16.825
H 0.000 2.361 10.058
H 0.000 2.361 17.615
H 2.045 1.181 0.755
H 2.045 1.181 8.312
```

## Properties
Uncorrected energy, eV per atom: -4.15
Space-group type: P-3m1, No. 164

Record 7
Material: BaNaSr2Au4
Method: DFT, PBE
State: optimized geometry

Structure (extended XYZ):
```
8
Lattice="2.711 1.565 9.005 -2.711 1.565 9.005 0.000 -3.131 9.005" Properties=species:S:1:pos:R:3 pbc="T T T"
Ba 0.000 0.000 0.000
Na 0.000 0.000 13.507
Sr 0.000 0.000 6.516
Sr 0.000 0.000 20.498
Au 0.000 0.000 3.344
Au 0.000 0.000 10.313
Au 0.000 0.000 16.701
Au 0.000 0.000 23.671
```

## Properties
Formation enthalpy at 0 K, eV per atom: -0.616
Space-group type: R-3m, No. 166

Record 8
Material: La6Co3BrCl2
Method: DFT, PBE
State: optimized geometry

Structure (extended XYZ):
```
12
Lattice="9.723 -2.015 0.000 9.723 2.015 0.000 -3.351 0.000 8.377" Properties=species:S:1:pos:R:3 pbc="T T T"
La -0.500 0.000 1.814
La 4.743 0.000 3.742
La 3.691 0.000 7.450
La 12.404 0.000 0.927
La 11.352 0.000 4.636
La 16.596 0.000 6.563
Co 2.142 0.000 2.769
Co 9.723 0.000 0.000
Co 13.953 0.000 5.609
Br 8.048 0.000 4.189
Cl 0.458 0.000 6.981
Cl 15.637 0.000 1.396
```

## Properties
Formation energy without anion corrections, eV per atom: -0.90
Space-group type: C2/m, No. 12

Record 9
Material: Cu2BiPdO
Method: DFT, PBE
State: optimized geometry

Structure (extended XYZ):
```
5
Lattice="4.618 0.000 0.000 0.000 4.618 0.000 0.000 0.000 5.176" Properties=species:S:1:pos:R:3 pbc="T T T"
Cu 0.000 2.309 0.000
Cu 2.309 0.000 0.000
Bi 0.000 0.000 2.588
Pd 0.000 0.000 0.000
O 2.309 2.309 2.588
```

## Properties
Formation energy without anion corrections, eV per atom: 0.90
Space-group type: P4/mmm, No. 123

Record 10
Material: BaSbH
Method: DFT, PBE
State: optimized geometry

Structure (extended XYZ):
```
6
Lattice="5.484 0.000 0.000 -2.738 4.825 0.000 -0.008 -0.024 6.730" Properties=species:S:1:pos:R:3 pbc="T T T"
Ba 0.000 0.000 0.000
Ba -0.003 3.247 3.348
Sb 2.738 1.629 4.899
Sb 2.738 1.644 1.918
H -0.044 3.239 0.319
H -0.013 3.970 0.594
```

## Properties
E above lowest polymorph, meV per atom: 0
Space-group type: P1, No. 1

Record 11
Material: YRhCl
Method: DFT, PBE
State: optimized geometry

Structure (extended XYZ):
```
3
Lattice="4.393 0.000 0.000 -2.196 3.804 0.000 0.000 0.000 3.438" Properties=species:S:1:pos:R:3 pbc="T T T"
Y 0.000 0.000 0.000
Rh 0.000 2.536 1.721
Cl 2.196 1.268 1.715
```

## Properties
Formation energy without anion corrections, eV per atom: -0.70
Space-group type: P3m1, No. 156

Record 12
Material: Dy5H2Pb5
Method: DFT, PBE
State: optimized geometry

Structure (extended XYZ):
```
12
Lattice="5.748 -2.205 0.000 5.748 2.205 0.000 -0.538 0.000 11.558" Properties=species:S:1:pos:R:3 pbc="T T T"
Dy 0.000 0.000 0.000
Dy 0.584 0.000 3.638
Dy 3.917 0.000 2.139
Dy 7.042 0.000 9.419
Dy 10.375 0.000 7.920
H 0.422 0.000 9.547
H 10.537 0.000 2.011
Pb 2.222 0.000 7.065
Pb 3.554 0.000 10.170
Pb 5.480 0.000 5.779
Pb 7.405 0.000 1.388
Pb 8.737 0.000 4.493
```

## Properties
Uncorrected energy, eV per atom: -4.47
Space-group type: C2/m, No. 12